1.
{"formula": "LaNi5", "functional": "PBE", "state": "optimized geometry", "lattice": [[6.952, 1.394, 1.257], [-6.962, 0.586, 1.743], [0.243, -2.997, 1.979]], "species": ["Ni", "Ni", "Ni", "Ni", "Ni", "La"], "frac_coords": [[0.707, 0.293, 0.000], [0.328, 0.672, 0.000], [0.595, 0.405, 0.500], [0.826, 0.174, 0.500], [0.209, 0.791, 0.500], [0.002, 0.998, 0.000]], "formation_enthalpy_0k_mev_per_atom": 31, "magmom_total_mub_per_fu": 1.76, "dos_ef_per_ev_fu": 9.5}


2.
{"formula": "Ce3Ga2Pd6", "functional": "PBE", "state": "optimized geometry", "lattice": [[-7.601, 2.251, -2.231], [-0.326, -7.209, 3.969], [3.212, 5.728, 4.970]], "species": ["Ce", "Ga", "Ce", "Pd", "Pd", "Ce", "Pd", "Ga", "Ga", "Pd", "Pd", "Pd", "Pd", "Ga", "Pd", "Pd", "Ce", "Ce", "Pd", "Pd", "Ce", "Pd"], "frac_coords": [[0.718, 0.000, 0.718], [0.000, 0.000, 0.500], [0.718, 0.718, 0.000], [0.339, 0.000, 0.661], [0.000, 0.661, 0.339], [0.000, 0.282, 0.282], [0.678, 0.339, 0.339], [0.500, 0.500, 0.500], [0.000, 0.500, 0.000], [0.339, 0.678, 0.339], [0.339, 0.661, 0.000], [0.661, 0.339, 0.000], [0.339, 0.339, 0.678], [0.500, 0.000, 0.000], [0.661, 0.000, 0.339], [0.000, 0.339, 0.661], [0.282, 0.000, 0.282], [0.000, 0.718, 0.718], [0.661, 0.661, 0.322], [0.661, 0.322, 0.661], [0.282, 0.282, 0.000], [0.322, 0.661, 0.661]], "formation_enthalpy_0k_mev_per_atom": -749, "magmom_total_mub_per_fu": 2.02, "dos_ef_per_ev_fu": 16.3}


3.
{"formula": "Ce2Pa2C5", "functional": "PBE", "state": "optimized geometry", "lattice": [[-5.524, 1.736, -3.433], [-3.071, -5.544, 2.136], [-0.545, 5.805, 3.813]], "species": ["C", "Pa", "Ce", "C", "Pa", "C", "Pa", "C", "Pa", "C", "Ce", "C", "C", "C", "Ce", "Ce", "C", "C"], "frac_coords": [[0.500, 0.500, 0.000], [0.348, 0.152, 0.000], [0.500, 0.293, 0.587], [0.654, 0.287, 0.254], [0.152, 0.652, 0.000], [0.846, 0.787, 0.254], [0.652, 0.848, 0.000], [0.000, 0.000, 0.000], [0.848, 0.348, 0.000], [0.846, 0.533, 0.746], [0.500, 0.707, 0.413], [0.154, 0.213, 0.746], [0.346, 0.967, 0.254], [0.654, 0.033, 0.746], [0.000, 0.793, 0.587], [0.000, 0.207, 0.413], [0.346, 0.713, 0.746], [0.154, 0.467, 0.254]], "formation_enthalpy_0k_mev_per_atom": -3, "magmom_total_mub_per_fu": 0.00, "dos_ef_per_ev_fu": 8.2}


4.
{"formula": "Co2BSb", "functional": "PBE", "state": "optimized geometry", "lattice": [[-0.214, 0.688, 4.662], [-1.846, -4.306, 0.551], [3.927, -3.866, 3.138]], "species": ["Sb", "Co", "Sb", "Co", "B", "Co", "Co", "B"], "frac_coords": [[0.750, 0.250, 0.500], [0.244, 0.625, 0.250], [0.000, 0.000, 0.000], [0.375, 0.494, 0.750], [0.500, 0.500, 0.000], [0.506, 0.125, 0.250], [0.875, 0.756, 0.750], [0.250, 0.750, 0.500]], "de_polymorph_mev_per_atom": 0, "magmom_total_mub_per_fu": 0.00, "dos_ef_per_ev_fu": 3.2}